{"formula": "SiAg3As", "functional": "PBE-GGA", "state": "optimized geometry", "crystal_system": "cubic", "e_above_lowest_polymorph_mev_per_atom": 0.0, "density_g_cm3": 6.410, "raw_formation_energy_ev_per_atom": 0.66, "lattice_angstrom": [[4.7988, 0.0000, 0.0000], [0.0000, 4.7988, 0.0000], [0.0000, 0.0000, 4.7988]], "species": ["Si", "Ag", "Ag", "Ag", "As"], "frac_coords": [[0.0000, 0.0000, 0.0000], [0.0000, 0.0000, 0.5000], [0.0000, 0.5000, 0.0000], [0.5000, 0.0000, 0.0000], [0.5000, 0.5000, 0.5000]]}


{"formula": "SiAgAs4", "functional": "PBE-GGA", "state": "optimized geometry", "crystal_system": "cubic", "density_g_cm3": 5.986, "raw_formation_energy_ev_per_atom": 0.59, "lattice_angstrom": [[0.0000, 3.9240, 3.9240], [3.9240, 0.0000, 3.9240], [3.9240, 3.9240, 0.0000]], "species": ["Si", "Ag", "As", "As", "As", "As"], "frac_coords": [[0.0000, 0.0000, 0.0000], [0.7500, 0.7500, 0.7500], [0.3749, 0.3749, 0.3749], [0.3749, 0.3749, 0.8752], [0.3749, 0.8752, 0.3749], [0.8752, 0.3749, 0.3749]]}


{"formula": "SiAg2As", "functional": "PBE-GGA", "state": "optimized geometry", "crystal_system": "orthorhombic", "e_above_lowest_polymorph_mev_per_atom": 93.3, "density_g_cm3": 7.009, "raw_formation_energy_ev_per_atom": 0.27, "lattice_angstrom": [[-1.4706, 2.1745, 5.9033], [1.4706, -2.1745, 5.9033], [1.4706, 2.1745, -5.9033]], "species": ["Si", "Ag", "Ag", "As"], "frac_coords": [[0.0000, 0.0000, 0.0000], [0.2177, 0.7177, 0.5000], [0.5401, 0.5401, 0.0000], [0.8150, 0.3150, 0.5000]]}


{"formula": "SiAg2As", "functional": "PBE-GGA", "state": "optimized geometry", "crystal_system": "trigonal", "e_above_lowest_polymorph_mev_per_atom": 106.5, "density_g_cm3": 7.484, "raw_formation_energy_ev_per_atom": 0.28, "lattice_angstrom": [[1.4748, 0.8515, 9.3865], [-1.4748, 0.8515, 9.3865], [0.0000, -1.7030, 9.3865]], "species": ["Si", "Ag", "Ag", "As"], "frac_coords": [[0.0000, 0.0000, 0.0000], [0.2558, 0.2558, 0.2558], [0.5032, 0.5032, 0.5032], [0.7478, 0.7478, 0.7478]]}


{"formula": "SiAg2As", "functional": "PBE-GGA", "state": "optimized geometry", "crystal_system": "orthorhombic", "e_above_lowest_polymorph_mev_per_atom": 126.3, "density_g_cm3": 7.349, "raw_formation_energy_ev_per_atom": 0.30, "lattice_angstrom": [[0.0000, 2.9632, 4.1108], [2.9564, 0.0000, 4.1108], [2.9564, 2.9632, 0.0000]], "species": ["Si", "Ag", "Ag", "As"], "frac_coords": [[0.0000, 0.0000, 0.0000], [0.2500, 0.2500, 0.2500], [0.7500, 0.7500, 0.7500], [0.5000, 0.5000, 0.5000]]}


{"formula": "SiAg2As", "functional": "PBE-GGA", "state": "optimized geometry", "crystal_system": "monoclinic", "e_above_lowest_polymorph_mev_per_atom": 168.1, "density_g_cm3": 7.260, "raw_formation_energy_ev_per_atom": 0.34, "lattice_angstrom": [[2.8713, -4.7982, 0.0000], [2.8713, 4.7982, 0.0000], [-1.3128, 0.0000, 2.6459]], "species": ["Si", "Ag", "Ag", "As"], "frac_coords": [[0.0000, 0.0000, 0.0000], [0.0000, 0.5000, 0.0000], [0.5000, 0.0000, 0.0000], [0.5000, 0.5000, 0.0000]]}


{"formula": "TlSi2AgAs", "functional": "PBE-GGA", "state": "optimized geometry", "crystal_system": "tetragonal", "density_g_cm3": 5.497, "raw_formation_energy_ev_per_atom": 0.91, "lattice_angstrom": [[4.8735, 0.0000, 0.0000], [0.0000, 4.8735, 0.0000], [0.0000, 0.0000, 5.6389]], "species": ["Tl", "Si", "Si", "Ag", "As"], "frac_coords": [[0.0000, 0.0000, 0.0000], [0.0000, 0.5000, 0.5000], [0.5000, 0.0000, 0.5000], [0.5000, 0.5000, 0.0000], [0.0000, 0.0000, 0.5000]]}


{"formula": "Sm2AgAs", "functional": "PBE-GGA", "state": "optimized geometry", "formation_energy_ev_per_fu": -2.870, "crystal_system": "tetragonal", "density_g_cm3": 8.135, "lattice_angstrom": [[3.7479, 0.0000, 0.0000], [0.0000, 3.7479, 0.0000], [0.0000, 0.0000, 7.0260]], "species": ["Sm", "Sm", "Ag", "As"], "frac_coords": [[0.0000, 0.0000, 0.2352], [0.0000, 0.0000, 0.7648], [0.5000, 0.5000, 0.5000], [0.5000, 0.5000, 0.0000]]}


{"formula": "SmAgAs", "functional": "PBE-GGA", "state": "optimized geometry", "formation_energy_ev_per_fu": -1.729, "crystal_system": "trigonal", "density_g_cm3": 6.932, "lattice_angstrom": [[2.4621, 1.4215, 7.6000], [-2.4621, 1.4215, 7.6000], [0.0000, -2.8430, 7.6000]], "species": ["Sm", "Sm", "Ag", "Ag", "As", "As"], "frac_coords": [[0.0955, 0.0955, 0.0955], [0.9045, 0.9045, 0.9045], [0.3377, 0.3377, 0.3377], [0.6623, 0.6623, 0.6623], [0.2223, 0.2223, 0.2223], [0.7777, 0.7777, 0.7777]]}


{"formula": "Sm2AgAs", "functional": "PBE-GGA", "state": "optimized geometry", "formation_energy_ev_per_fu": -3.080, "crystal_system": "trigonal", "density_g_cm3": 7.226, "lattice_angstrom": [[2.1090, 1.2176, 7.2119], [-2.1090, 1.2176, 7.2119], [0.0000, -2.4352, 7.2119]], "species": ["Sm", "Sm", "Ag", "As"], "frac_coords": [[0.2415, 0.2415, 0.2415], [0.7585, 0.7585, 0.7585], [0.0000, 0.0000, 0.0000], [0.5000, 0.5000, 0.5000]]}


{"formula": "Sm8AgTe4As3", "functional": "PBE-GGA", "state": "optimized geometry", "crystal_system": "trigonal", "density_g_cm3": 7.320, "raw_formation_energy_ev_per_atom": -1.33, "lattice_angstrom": [[4.3237, 2.4963, 7.1666], [-4.3237, 2.4963, 7.1666], [0.0000, -4.9926, 7.1666]], "species": ["Sm", "Sm", "Sm", "Sm", "Sm", "Sm", "Sm", "Sm", "Ag", "Te", "Te", "Te", "Te", "As", "As", "As"], "frac_coords": [[0.2347, 0.7471, 0.7471], [0.2395, 0.2395, 0.2395], [0.2529, 0.2529, 0.7653], [0.2529, 0.7653, 0.2529], [0.7471, 0.2347, 0.7471], [0.7471, 0.7471, 0.2347], [0.7605, 0.7605, 0.7605], [0.7653, 0.2529, 0.2529], [0.5000, 0.5000, 0.5000], [0.0000, 0.0000, 0.0000], [0.0000, 0.5000, 0.5000], [0.5000, 0.0000, 0.5000], [0.5000, 0.5000, 0.0000], [0.0000, 0.0000, 0.5000], [0.0000, 0.5000, 0.0000], [0.5000, 0.0000, 0.0000]]}


{"formula": "AgSn3As4", "functional": "PBE-GGA", "state": "optimized geometry", "formation_energy_ev_per_fu": 0.052, "crystal_system": "orthorhombic", "density_g_cm3": 5.375, "lattice_angstrom": [[9.0197, 0.0000, 0.0000], [0.0000, 7.3531, 0.0000], [0.0000, 0.0000, 7.1147]], "species": ["Ag", "Ag", "Sn", "Sn", "Sn", "Sn", "Sn", "Sn", "As", "As", "As", "As", "As", "As", "As", "As"], "frac_coords": [[0.0000, 0.1660, 0.0000], [0.5000, 0.8340, 0.5000], [0.0000, 0.8188, 0.5057], [0.2487, 0.3297, 0.5070], [0.2513, 0.6703, 0.0070], [0.5000, 0.1812, 0.0057], [0.7487, 0.6703, 0.0070], [0.7513, 0.3297, 0.5070], [0.0000, 0.1643, 0.6332], [0.0000, 0.8323, 0.1265], [0.2423, 0.3230, 0.1256], [0.2577, 0.6770, 0.6256], [0.5000, 0.1677, 0.6265], [0.5000, 0.8357, 0.1332], [0.7423, 0.6770, 0.6256], [0.7577, 0.3230, 0.1256]]}


{"formula": "AgSnAs2", "functional": "PBE-GGA", "state": "optimized geometry", "formation_energy_ev_per_fu": 0.303, "crystal_system": "tetragonal", "density_g_cm3": 5.662, "lattice_angstrom": [[-3.0636, 3.0636, 5.8810], [3.0636, -3.0636, 5.8810], [3.0636, 3.0636, -5.8810]], "species": ["Ag", "Ag", "Sn", "Sn", "As", "As", "As", "As"], "frac_coords": [[0.0000, 0.0000, 0.0000], [0.7500, 0.2500, 0.5000], [0.2500, 0.7500, 0.5000], [0.5000, 0.5000, 0.0000], [0.1122, 0.6250, 0.9872], [0.3750, 0.3622, 0.4872], [0.6378, 0.1250, 0.0128], [0.8750, 0.8878, 0.5128]]}


{"formula": "AgSn2As3", "functional": "PBE-GGA", "state": "optimized geometry", "formation_energy_ev_per_fu": -0.141, "crystal_system": "monoclinic", "density_g_cm3": 5.489, "lattice_angstrom": [[3.7337, -6.5196, 0.0000], [3.7337, 6.5196, 0.0000], [-2.4617, 0.0000, 7.0846]], "species": ["Ag", "Ag", "Sn", "Sn", "Sn", "Sn", "As", "As", "As", "As", "As", "As"], "frac_coords": [[0.0837, 0.9163, 0.5000], [0.9163, 0.0837, 0.0000], [0.2560, 0.7552, 0.0123], [0.4454, 0.6090, 0.5140], [0.6090, 0.4454, 0.0140], [0.7552, 0.2560, 0.5123], [0.1379, 0.6413, 0.6296], [0.2917, 0.4532, 0.1327], [0.4532, 0.2917, 0.6327], [0.6413, 0.1379, 0.1296], [0.8193, 0.9795, 0.6386], [0.9795, 0.8193, 0.1386]]}


{"formula": "AgSnAs3", "functional": "PBE-GGA", "state": "optimized geometry", "formation_energy_ev_per_fu": 3.735, "crystal_system": "cubic", "e_above_lowest_polymorph_mev_per_atom": 0.0, "density_g_cm3": 5.800, "lattice_angstrom": [[5.0555, 0.0000, 0.0000], [0.0000, 5.0555, 0.0000], [0.0000, 0.0000, 5.0555]], "species": ["Ag", "Sn", "As", "As", "As"], "frac_coords": [[0.0000, 0.0000, 0.0000], [0.5000, 0.5000, 0.5000], [0.0000, 0.0000, 0.5000], [0.0000, 0.5000, 0.0000], [0.5000, 0.0000, 0.0000]]}


{"formula": "AgSn2As", "functional": "PBE-GGA", "state": "optimized geometry", "formation_energy_ev_per_fu": 0.557, "crystal_system": "tetragonal", "density_g_cm3": 7.642, "lattice_angstrom": [[3.4808, 0.0000, 0.0000], [0.0000, 3.4808, 0.0000], [0.0000, 0.0000, 7.5363]], "species": ["Ag", "Sn", "Sn", "As"], "frac_coords": [[0.0000, 0.0000, 0.0000], [0.5000, 0.5000, 0.2573], [0.5000, 0.5000, 0.7427], [0.0000, 0.0000, 0.5000]]}


{"formula": "Ag3SnAs", "functional": "PBE-GGA", "state": "optimized geometry", "formation_energy_ev_per_fu": 1.863, "crystal_system": "cubic", "density_g_cm3": 6.891, "lattice_angstrom": [[4.9953, 0.0000, 0.0000], [0.0000, 4.9953, 0.0000], [0.0000, 0.0000, 4.9953]], "species": ["Ag", "Ag", "Ag", "Sn", "As"], "frac_coords": [[0.0000, 0.0000, 0.5000], [0.0000, 0.5000, 0.0000], [0.5000, 0.0000, 0.0000], [0.5000, 0.5000, 0.5000], [0.0000, 0.0000, 0.0000]]}


{"formula": "AgSnAs2", "functional": "PBE-GGA", "state": "optimized geometry", "formation_energy_ev_per_fu": 0.984, "crystal_system": "trigonal", "density_g_cm3": 5.759, "lattice_angstrom": [[1.9575, 1.1302, 8.1759], [-1.9575, 1.1302, 8.1759], [0.0000, -2.2604, 8.1759]], "species": ["Ag", "Sn", "As", "As"], "frac_coords": [[0.0000, 0.0000, 0.0000], [0.5000, 0.5000, 0.5000], [0.1018, 0.1018, 0.1018], [0.8982, 0.8982, 0.8982]]}


{"formula": "AgSn2As", "functional": "PBE-GGA", "state": "optimized geometry", "formation_energy_ev_per_fu": 0.493, "crystal_system": "tetragonal", "density_g_cm3": 5.642, "lattice_angstrom": [[-3.2859, 3.2859, 5.7270], [3.2859, -3.2859, 5.7270], [3.2859, 3.2859, -5.7270]], "species": ["Ag", "Ag", "Sn", "Sn", "Sn", "Sn", "As", "As"], "frac_coords": [[0.0000, 0.0000, 0.0000], [0.7500, 0.2500, 0.5000], [0.1268, 0.6250, 0.0018], [0.3750, 0.3768, 0.5018], [0.6232, 0.1250, 0.9982], [0.8750, 0.8732, 0.4982], [0.2500, 0.7500, 0.5000], [0.5000, 0.5000, 0.0000]]}


{"formula": "Ag2SnAs", "functional": "PBE-GGA", "state": "optimized geometry", "formation_energy_ev_per_fu": 0.487, "crystal_system": "tetragonal", "e_above_lowest_polymorph_mev_per_atom": 0.0, "density_g_cm3": 8.280, "lattice_angstrom": [[4.3542, 0.0000, 0.0000], [0.0000, 4.3542, 0.0000], [0.0000, 0.0000, 4.3303]], "species": ["Ag", "Ag", "Sn", "As"], "frac_coords": [[0.0000, 0.5000, 0.0000], [0.5000, 0.0000, 0.0000], [0.0000, 0.0000, 0.5000], [0.5000, 0.5000, 0.5000]]}